Below is a relaxed BaZnTe2 crystal, with properties calculated at the PBE level.

Geometry as CIF:
```
data_BaZnTe2
_cell_length_a 4.903
_cell_length_b 4.903
_cell_length_c 10.609
_cell_angle_alpha 90.00
_cell_angle_beta 90.00
_cell_angle_gamma 90.00
_space_group_name_H-M_alt 'I 4/m m m'
_space_group_IT_number 139
_space_group_name_Hall '-I 4 2'
loop_
_atom_site_label
_atom_site_type_symbol
_atom_site_fract_x
_atom_site_fract_y
_atom_site_fract_z
_atom_site_occupancy
Ba1 Ba 0.000 0.000 0.000 1
Zn1 Zn 0.000 0.000 0.500 1
Te1 Te 0.000 0.500 0.250 1
```

Properties
E_tot, eV per atom: -2.971
Energy relative to the elements, uncorrected, meV per atom: -601